{"formula": "Li2ErVO4", "functional": "GGA+U", "state": "optimized geometry", "final_energy_ev_per_atom": -6.9503, "sg": "I-4m2", "lattice_angstrom": [[4.2997, 0.0042, 0.0000], [-0.0001, 4.2997, 0.0000], [-2.1498, -2.1520, 4.7365]], "species": ["Er", "O", "O", "O", "O", "Li", "Li", "V"], "frac_coords": [[0.5000, 0.5000, 0.0000], [0.7409, 0.7409, 0.4818], [0.2591, 0.2591, 0.5182], [0.5361, 0.0361, 0.0722], [0.9639, 0.4639, 0.9278], [0.2500, 0.7500, 0.5000], [0.0000, 0.0000, 0.0000], [0.7500, 0.2500, 0.5000]]}